Density functional theory data (PBE) for crystalline Rb3HfZr3Se8 at its relaxed geometry.

The structure in CIF format:
```
data_Rb3HfZr3Se8
_chemical_formula_sum 'Rb9 Hf3 Zr9 Se24'
_symmetry_space_group_name_H-M 'R -3 m'
_symmetry_Int_Tables_number 166
_symmetry_space_group_name_Hall '-R 3 2"'
_cell_length_a 7.7220
_cell_length_b 7.7220
_cell_length_c 24.9058
_cell_angle_alpha 90.00
_cell_angle_beta 90.00
_cell_angle_gamma 120.00
loop_
_atom_site_label
_atom_site_type_symbol
_atom_site_fract_x
_atom_site_fract_y
_atom_site_fract_z
Rb1 Rb 0.0000 0.5000 0.0000
Hf1 Hf 0.0000 0.0000 0.5000
Zr1 Zr 0.0000 0.5000 0.5000
Se1 Se 0.0000 0.0000 0.2317
Se2 Se 0.0016 0.5008 0.2306
```

Computed properties:
Energy relative to the elements, uncorrected in eV per atom: -1.3559
D(E_F) in states/eV/f.u.: 7.378
Density in Mg/m³: 5.2
Crystal system: trigonal